# 1
The following is a GGA-PBE calculation of a relaxed structure of Mg5HgPb8, from Alexandria via LeMat-Bulk.

Cell lengths 8.107, 8.107, 8.107 Å; angles 106.45, 115.70, 106.45 degrees
Positions (direct):
Mg1 0.000 0.267 0.039
Mg2 0.961 0.960 0.228
Mg3 0.772 0.733 0.733
Mg4 0.500 0.000 0.500
Mg5 0.267 0.040 0.000
Hg1 0.250 0.500 0.750
Pb1 0.104 0.669 0.050
Pb2 0.950 0.054 0.620
Pb3 0.752 0.285 0.362
Pb4 0.638 0.390 0.923
Pb5 0.533 0.610 0.248
Pb6 0.565 0.946 0.896
Pb7 0.380 0.331 0.435
Pb8 0.077 0.715 0.467

## Properties
Energy: -37.85 eV for the cell shown

# 2
The following is a GGA-PBE calculation of a relaxed structure of Mg12Hg3Pb, from Alexandria via LeMat-Bulk.

Cell lengths 4.506, 4.506, 17.421 Å; angles 90.00, 90.00, 90.00 degrees
Positions (direct):
Mg1 0.500 0.500 0.000
Mg2 0.500 0.500 0.256
Mg3 0.500 0.500 0.500
Mg4 0.500 0.500 0.744
Mg5 0.500 0.000 0.134
Mg6 0.500 0.000 0.379
Mg7 0.500 0.000 0.621
Mg8 0.500 0.000 0.866
Mg9 0.000 0.500 0.134
Mg10 0.000 0.500 0.379
Mg11 0.000 0.500 0.621
Mg12 0.000 0.500 0.866
Hg1 0.000 0.000 0.257
Hg2 0.000 0.000 0.500
Hg3 0.000 0.000 0.743
Pb1 0.000 0.000 0.000

## Properties
Energy: -25.61 eV for the cell shown

# 3
The following is a GGA-PBE calculation of a relaxed structure of Mg3Hg5Pb, from Alexandria via LeMat-Bulk.

Cell lengths 6.305, 8.900, 8.898 Å; angles 120.01, 90.00, 90.00 degrees
Positions (direct):
Mg1 0.750 0.350 0.350
Mg2 0.750 0.000 0.650
Mg3 0.750 0.650 0.000
Mg4 0.250 0.650 0.650
Mg5 0.250 0.000 0.350
Mg6 0.250 0.350 0.000
Hg1 0.000 0.667 0.333
Hg2 0.500 0.333 0.667
Hg3 0.000 0.333 0.667
Hg4 0.500 0.667 0.333
Hg5 0.750 0.671 0.671
Hg6 0.750 0.000 0.329
Hg7 0.750 0.329 0.000
Hg8 0.250 0.329 0.329
Hg9 0.250 0.000 0.671
Hg10 0.250 0.671 0.000
Pb1 0.000 0.000 0.000
Pb2 0.500 0.000 0.000

## Properties
Energy: -21.34 eV for the cell shown

# 4
The following is a GGA-PBE calculation of a relaxed structure of Mg3HgPb2, from Alexandria via LeMat-Bulk.

Cell lengths 3.483, 3.483, 12.147 Å; angles 90.00, 90.00, 90.00 degrees
Positions (direct):
Mg1 0.000 0.000 0.000
Mg2 0.000 0.000 0.645
Mg3 0.000 0.000 0.355
Hg1 0.500 0.500 0.500
Pb1 0.500 0.500 0.824
Pb2 0.500 0.500 0.176

## Properties
Energy: -13.16 eV for the cell shown

# 5
The following is a GGA-PBE calculation of a relaxed structure of MgHg2Pb3, from Alexandria via LeMat-Bulk.

Cell lengths 3.620, 5.415, 8.785 Å; angles 107.95, 90.00, 90.00 degrees
Positions (direct):
Mg1 0.000 0.000 0.000
Hg1 0.500 0.859 0.718
Hg2 0.500 0.141 0.282
Pb1 0.000 0.684 0.369
Pb2 0.000 0.316 0.631
Pb3 0.500 0.500 0.000

## Properties
Energy: -13.49 eV for the cell shown

# 6
The following is a GGA-PBE calculation of a relaxed structure of Mg7Hg4Pb, from Alexandria via LeMat-Bulk.

Cell lengths 5.337, 8.606, 7.226 Å; angles 79.49, 68.33, 71.94 degrees
Positions (direct):
Mg1 0.784 0.877 0.556
Mg2 0.216 0.123 0.444
Mg3 0.066 0.653 0.214
Mg4 0.934 0.347 0.786
Mg5 0.340 0.589 0.731
Mg6 0.500 0.000 0.000
Mg7 0.660 0.411 0.269
Hg1 0.573 0.221 0.633
Hg2 0.427 0.779 0.367
Hg3 0.709 0.662 0.920
Hg4 0.291 0.338 0.080
Pb1 0.000 0.000 0.000

## Properties
Energy: -16.79 eV for the cell shown

# 7
The following is a GGA-PBE calculation of a relaxed structure of MgHgPb2, from Alexandria via LeMat-Bulk.

Cell lengths 4.823, 4.823, 6.625 Å; angles 68.65, 68.65, 60.00 degrees
Positions (direct):
Mg1 0.497 0.497 0.510
Hg1 0.667 0.667 0.998
Pb1 0.078 0.078 0.766
Pb2 0.258 0.258 0.226

## Properties
Energy: -8.92 eV for the cell shown

# 8
The following is a GGA-PBE calculation of a relaxed structure of Mg2HgPb, from Alexandria via LeMat-Bulk.

Cell lengths 3.545, 3.545, 9.358 Å; angles 78.79, 78.79, 59.61 degrees
Positions (direct):
Mg1 0.076 0.076 0.770
Mg2 0.258 0.258 0.231
Hg1 0.667 0.667 0.000
Pb1 0.499 0.499 0.499

## Properties
Energy above the most stable polymorph in this dataset: 0.162 eV per formula unit

# 9
The following is a GGA-PBE calculation of a relaxed structure of Mg4HgPb5, from Alexandria via LeMat-Bulk.

Cell lengths 3.496, 3.496, 21.927 Å; angles 90.00, 90.00, 90.00 degrees
Positions (direct):
Mg1 0.000 0.000 0.208
Mg2 0.000 0.000 0.403
Mg3 0.000 0.000 0.597
Mg4 0.000 0.000 0.792
Hg1 0.000 0.000 0.000
Pb1 0.500 0.500 0.108
Pb2 0.500 0.500 0.305
Pb3 0.500 0.500 0.500
Pb4 0.500 0.500 0.695
Pb5 0.500 0.500 0.892

## Properties
Energy: -25.63 eV for the cell shown

# 10
The following is a GGA-PBE calculation of a relaxed structure of PmMgHgPb, from Alexandria via LeMat-Bulk.

Cell lengths 5.297, 5.297, 5.297 Å; angles 60.00, 60.00, 60.00 degrees
Positions (direct):
Pb1 0.000 0.000 0.000
Mg1 0.250 0.250 0.250
Hg1 0.500 0.500 0.500
Pm1 0.750 0.750 0.750

## Properties
Energy above the most stable polymorph in this dataset: 0.275 eV per formula unit

# 11
The following is a GGA-PBE calculation of a relaxed structure of PmMgHgPb, from Alexandria via LeMat-Bulk.

Cell lengths 4.386, 4.998, 4.767 Å; angles 90.00, 90.00, 90.00 degrees
Positions (direct):
Pm1 0.000 0.000 0.000
Mg1 0.000 0.500 0.500
Hg1 0.500 0.500 0.000
Pb1 0.500 0.000 0.500

## Properties
Energy above the most stable polymorph in this dataset: 0.000 eV per formula unit

# 12
The following is a GGA-PBE calculation of a relaxed structure of PrMgHgPb, from Alexandria via LeMat-Bulk.

Cell lengths 5.343, 5.343, 5.343 Å; angles 60.00, 60.00, 60.00 degrees
Positions (direct):
Pb1 0.500 0.500 0.500
Pr1 0.750 0.750 0.750
Mg1 0.250 0.250 0.250
Hg1 0.000 0.000 0.000

## Properties
Energy above the most stable polymorph in this dataset: 0.253 eV per formula unit

# 13
The following is a GGA-PBE calculation of a relaxed structure of PrMgHgPb, from Alexandria via LeMat-Bulk.

Cell lengths 4.446, 4.806, 5.029 Å; angles 90.00, 90.00, 90.00 degrees
Positions (direct):
Pr1 0.500 0.000 0.500
Mg1 0.500 0.500 0.000
Hg1 0.000 0.000 0.000
Pb1 0.000 0.500 0.500

## Properties
Energy above the most stable polymorph in this dataset: 0.000 eV per formula unit

# 14
The following is a GGA-PBE calculation of a relaxed structure of Rb2MgHg6Pb, from Alexandria via LeMat-Bulk.

Cell lengths 7.623, 8.392, 7.237 Å; angles 57.89, 68.10, 92.51 degrees
Positions (direct):
Rb1 0.283 0.899 0.416
Rb2 0.717 0.101 0.584
Mg1 0.500 0.500 0.000
Hg1 0.216 0.685 0.108
Hg2 0.841 0.633 0.017
Hg3 0.340 0.367 0.501
Hg4 0.784 0.315 0.892
Hg5 0.159 0.367 0.983
Hg6 0.660 0.633 0.499
Pb1 0.000 0.000 0.000

## Properties
Energy: -10.38 eV for the cell shown

# 15
The following is a GGA-PBE calculation of a relaxed structure of MgHgRhPb2, from Alexandria via LeMat-Bulk.

Cell lengths 5.244, 5.244, 5.087 Å; angles 90.00, 90.00, 90.00 degrees
Positions (direct):
Pb1 0.000 0.500 0.000
Pb2 0.500 0.000 0.000
Mg1 0.000 0.000 0.500
Rh1 0.000 0.000 0.000
Hg1 0.500 0.500 0.500

## Properties
Energy above the most stable polymorph in this dataset: 0.000 eV per formula unit

# 16
The following is a GGA-PBE calculation of a relaxed structure of Mg2HgRhPb, from Alexandria via LeMat-Bulk.

Cell lengths 5.053, 5.053, 5.150 Å; angles 90.00, 90.00, 90.00 degrees
Positions (direct):
Pb1 0.000 0.000 0.500
Mg1 0.000 0.500 0.000
Mg2 0.500 0.000 0.000
Rh1 0.000 0.000 0.000
Hg1 0.500 0.500 0.500

## Properties
Energy: -15.09 eV for the cell shown

# 17
The following is a GGA-PBE calculation of a relaxed structure of MgHgRhPb2, from Alexandria via LeMat-Bulk.

Cell lengths 5.469, 4.675, 5.469 Å; angles 90.00, 90.00, 90.00 degrees
Positions (direct):
Pb1 0.000 0.000 0.500
Pb2 0.500 0.000 0.000
Mg1 0.000 0.000 0.000
Rh1 0.000 0.500 0.000
Hg1 0.500 0.500 0.500

## Properties
Energy above the most stable polymorph in this dataset: 3.124 eV per formula unit

# 18
The following is a GGA-PBE calculation of a relaxed structure of MgHg2RuPb, from Alexandria via LeMat-Bulk.

Cell lengths 5.697, 5.379, 5.697 Å; angles 90.00, 90.00, 90.00 degrees
Last column: magnetic moment on the atom in μB.
Positions (direct):
Pb1 0.000 0.000 0.000  0.03
Ru1 0.500 0.500 0.500  2.61
Mg1 0.000 0.500 0.000  0.00
Hg1 0.000 0.000 0.500  0.02
Hg2 0.500 0.000 0.000  0.01

## Properties
Energy: -8.64 eV for the cell shown

# 19
The following is a GGA-PBE calculation of a relaxed structure of MgHgSbPb, from Alexandria via LeMat-Bulk.

Cell lengths 5.358, 5.358, 5.358 Å; angles 60.00, 60.00, 60.00 degrees
Positions (direct):
Pb1 0.250 0.250 0.250
Sb1 0.000 0.000 0.000
Mg1 0.750 0.750 0.750
Hg1 0.500 0.500 0.500

## Properties
Energy: -9.83 eV for the cell shown

# 20
The following is a GGA-PBE calculation of a relaxed structure of MgScHgPb, from Alexandria via LeMat-Bulk.

Cell lengths 4.144, 4.564, 4.857 Å; angles 90.00, 90.00, 90.00 degrees
Positions (direct):
Mg1 0.000 0.000 0.000
Sc1 0.000 0.500 0.500
Hg1 0.500 0.500 0.000
Pb1 0.500 0.000 0.500

## Properties
Energy above the most stable polymorph in this dataset: 0.000 eV per formula unit